# BaBeCoSb, relaxed, DFT PBE-GGA
# energy relative to the lowest polymorph listed for this composition = 0.0 meV per atom
data_BaBeCoSb
_chemical_formula_sum 'Ba1 Be1 Co1 Sb1'
_space_group_name_H-M_alt 'P 1'
_space_group_IT_number 1
_cell_length_a 4.8978
_cell_length_b 4.8978
_cell_length_c 4.8978
_cell_angle_alpha 60.00
_cell_angle_beta 60.00
_cell_angle_gamma 60.00
loop_
_space_group_symop_operation_xyz
'x,y,z'
loop_
_atom_site_label
_atom_site_fract_x
_atom_site_fract_y
_atom_site_fract_z
Sb1 0.5000 0.5000 0.5000
Be1 0.7500 0.7500 0.7500
Co1 0.2500 0.2500 0.2500
Ba1 0.0000 0.0000 0.0000

***

# TlCuNiSn, relaxed, DFT PBE-GGA
# energy relative to the lowest polymorph listed for this composition = 0.0 meV per atom
data_TlCuNiSn
_chemical_formula_sum 'Tl1 Cu1 Ni1 Sn1'
_space_group_name_H-M_alt 'P 1'
_space_group_IT_number 1
_cell_length_a 4.6658
_cell_length_b 4.6658
_cell_length_c 4.6658
_cell_angle_alpha 60.00
_cell_angle_beta 60.00
_cell_angle_gamma 60.00
loop_
_space_group_symop_operation_xyz
'x,y,z'
loop_
_atom_site_label
_atom_site_fract_x
_atom_site_fract_y
_atom_site_fract_z
Sn1 0.0000 0.0000 0.0000
Tl1 0.5000 0.5000 0.5000
Cu1 0.7500 0.7500 0.7500
Ni1 0.2500 0.2500 0.2500

***

# Zr5B, relaxed, DFT PBE-GGA
# energy = -47.6 eV per cell
data_Zr5B
_chemical_formula_sum 'Zr5 B1'
_space_group_name_H-M_alt 'P 1'
_space_group_IT_number 1
_cell_length_a 5.4235
_cell_length_b 5.4235
_cell_length_c 4.7935
_cell_angle_alpha 90.00
_cell_angle_beta 90.00
_cell_angle_gamma 60.00
loop_
_space_group_symop_operation_xyz
'x,y,z'
loop_
_atom_site_label
_atom_site_fract_x
_atom_site_fract_y
_atom_site_fract_z
Zr1 0.3333 0.3334 0.0000
B1 0.0000 0.0000 0.0000
Zr2 0.6956 0.0000 0.5000
Zr3 0.0000 0.3044 0.5000
Zr4 0.6666 0.6667 0.0000
Zr5 0.3044 0.6956 0.5000

***

# AlAsAuO, relaxed, DFT PBE-GGA
# energy relative to the lowest polymorph listed for this composition = 12.6 meV per atom
data_AlAsAuO
_chemical_formula_sum 'Al2 As2 Au2 O2'
_space_group_name_H-M_alt 'P 1'
_space_group_IT_number 1
_cell_length_a 3.0114
_cell_length_b 7.0070
_cell_length_c 6.8006
_cell_angle_alpha 90.00
_cell_angle_beta 90.00
_cell_angle_gamma 90.00
loop_
_space_group_symop_operation_xyz
'x,y,z'
loop_
_atom_site_label
_atom_site_fract_x
_atom_site_fract_y
_atom_site_fract_z
O1 0.5000 0.3387 0.4170
Al1 0.0000 0.7816 0.9611
As1 0.0000 0.8884 0.3170
Al2 0.0000 0.2184 0.4611
O2 0.5000 0.6613 0.9170
Au1 0.5000 0.2880 0.0589
Au2 0.5000 0.7120 0.5589
As2 0.0000 0.1116 0.8170

***

# NpReTe, relaxed, DFT PBE-GGA
# energy relative to the lowest polymorph listed for this composition = 621.9 meV per atom
data_NpReTe
_chemical_formula_sum 'Np1 Re1 Te1'
_space_group_name_H-M_alt 'P 1'
_space_group_IT_number 1
_cell_length_a 4.6846
_cell_length_b 4.6846
_cell_length_c 4.6846
_cell_angle_alpha 60.00
_cell_angle_beta 60.00
_cell_angle_gamma 60.00
loop_
_space_group_symop_operation_xyz
'x,y,z'
loop_
_atom_site_label
_atom_site_fract_x
_atom_site_fract_y
_atom_site_fract_z
Np1 0.0000 0.0000 0.0000
Te1 0.7500 0.7500 0.7500
Re1 0.2500 0.2500 0.2500

***

# SrMg2Pd, relaxed, DFT PBE-GGA
# energy = -23.6 eV per cell
data_SrMg2Pd
_chemical_formula_sum 'Sr2 Mg4 Pd2'
_space_group_name_H-M_alt 'P 1'
_space_group_IT_number 1
_cell_length_a 6.0573
_cell_length_b 6.0573
_cell_length_c 8.2150
_cell_angle_alpha 90.00
_cell_angle_beta 90.00
_cell_angle_gamma 137.73
loop_
_space_group_symop_operation_xyz
'x,y,z'
loop_
_atom_site_label
_atom_site_fract_x
_atom_site_fract_y
_atom_site_fract_z
Mg1 0.1645 0.8355 0.9405
Mg2 0.8355 0.1645 0.4405
Mg3 0.1645 0.8355 0.5595
Mg4 0.8355 0.1645 0.0595
Pd1 0.2721 0.7279 0.2500
Pd2 0.7279 0.2721 0.7500
Sr1 0.5537 0.4463 0.2500
Sr2 0.4463 0.5537 0.7500

***

# PrErSbCl2, relaxed, DFT PBE-GGA
# energy = -25.3 eV per cell
data_PrErSbCl2
_chemical_formula_sum 'Pr1 Er1 Sb1 Cl2'
_space_group_name_H-M_alt 'P 1'
_space_group_IT_number 1
_cell_length_a 4.2272
_cell_length_b 4.2272
_cell_length_c 10.6797
_cell_angle_alpha 90.00
_cell_angle_beta 90.00
_cell_angle_gamma 120.00
loop_
_space_group_symop_operation_xyz
'x,y,z'
loop_
_atom_site_label
_atom_site_fract_x
_atom_site_fract_y
_atom_site_fract_z
Cl1 0.6667 0.3333 0.6908
Sb1 0.0000 0.0000 0.9878
Cl2 0.3333 0.6667 0.3232
Er1 0.3333 0.6667 0.8291
Pr1 0.6667 0.3333 0.1691

***

# La2Al2Pd3Pt, relaxed, DFT PBE-GGA
# energy = -46.6 eV per cell
data_La2Al2Pd3Pt
_chemical_formula_sum 'La2 Al2 Pd3 Pt1'
_space_group_name_H-M_alt 'P 1'
_space_group_IT_number 1
_cell_length_a 4.4235
_cell_length_b 4.4235
_cell_length_c 9.8075
_cell_angle_alpha 90.00
_cell_angle_beta 90.00
_cell_angle_gamma 120.00
loop_
_space_group_symop_operation_xyz
'x,y,z'
loop_
_atom_site_label
_atom_site_fract_x
_atom_site_fract_y
_atom_site_fract_z
Pd1 0.3333 0.6667 0.5693
Pd2 0.3333 0.6667 0.9250
Pt1 0.0000 0.0000 0.0660
La1 0.3333 0.6667 0.2468
Al1 0.6667 0.3333 0.0059
Pd3 0.0000 0.0000 0.4353
Al2 0.6667 0.3333 0.5006
La2 0.0000 0.0000 0.7510

***

# BaTaPdAu, relaxed, DFT PBE-GGA
# energy relative to the lowest polymorph listed for this composition = 74.6 meV per atom
data_BaTaPdAu
_chemical_formula_sum 'Ba1 Ta1 Pd1 Au1'
_space_group_name_H-M_alt 'P 1'
_space_group_IT_number 1
_cell_length_a 4.9037
_cell_length_b 4.9037
_cell_length_c 4.9037
_cell_angle_alpha 60.00
_cell_angle_beta 60.00
_cell_angle_gamma 60.00
loop_
_space_group_symop_operation_xyz
'x,y,z'
loop_
_atom_site_label
_atom_site_fract_x
_atom_site_fract_y
_atom_site_fract_z
Ba1 0.2500 0.2500 0.2500
Au1 0.7500 0.7500 0.7500
Ta1 0.0000 0.0000 0.0000
Pd1 0.5000 0.5000 0.5000

***

# NaHgAsO4, relaxed, DFT PBE-GGA
# energy relative to the lowest polymorph listed for this composition = 60.1 meV per atom
data_NaHgAsO4
_chemical_formula_sum 'Na2 Hg2 As2 O8'
_space_group_name_H-M_alt 'P 1'
_space_group_IT_number 1
_cell_length_a 9.5006
_cell_length_b 9.5006
_cell_length_c 9.5006
_cell_angle_alpha 32.49
_cell_angle_beta 32.49
_cell_angle_gamma 32.49
loop_
_space_group_symop_operation_xyz
'x,y,z'
loop_
_atom_site_label
_atom_site_fract_x
_atom_site_fract_y
_atom_site_fract_z
O1 0.2742 0.8845 0.5019
O2 0.4981 0.7258 0.1155
O3 0.5019 0.2742 0.8845
As1 0.5749 0.5749 0.5749
Hg1 0.1511 0.1511 0.1511
Hg2 0.8489 0.8489 0.8489
O4 0.8845 0.5019 0.2742
Na1 0.7162 0.7162 0.7162
O5 0.7258 0.1155 0.4981
Na2 0.2838 0.2838 0.2838
O6 0.3632 0.3632 0.3632
O7 0.1155 0.4981 0.7258
O8 0.6368 0.6368 0.6368
As2 0.4251 0.4251 0.4251

***

# ZrBIr, relaxed, DFT PBE-GGA
# energy relative to the lowest polymorph listed for this composition = 410.9 meV per atom
data_ZrBIr
_chemical_formula_sum 'Zr1 B1 Ir1'
_space_group_name_H-M_alt 'P 1'
_space_group_IT_number 1
_cell_length_a 4.2336
_cell_length_b 4.2336
_cell_length_c 4.2336
_cell_angle_alpha 60.00
_cell_angle_beta 60.00
_cell_angle_gamma 60.00
loop_
_space_group_symop_operation_xyz
'x,y,z'
loop_
_atom_site_label
_atom_site_fract_x
_atom_site_fract_y
_atom_site_fract_z
Ir1 0.7500 0.7500 0.7500
B1 0.2500 0.2500 0.2500
Zr1 0.0000 0.0000 0.0000

***

# Pr3DyEr2CoTe2, relaxed, DFT PBE-GGA
# energy = -47.8 eV per cell
data_Pr3DyEr2CoTe2
_chemical_formula_sum 'Pr3 Dy1 Er2 Co1 Te2'
_space_group_name_H-M_alt 'P 1'
_space_group_IT_number 1
_cell_length_a 4.0288
_cell_length_b 8.4872
_cell_length_c 8.4872
_cell_angle_alpha 120.11
_cell_angle_beta 90.00
_cell_angle_gamma 90.00
loop_
_space_group_symop_operation_xyz
'x,y,z'
loop_
_atom_site_label
_atom_site_fract_x
_atom_site_fract_y
_atom_site_fract_z
Te1 0.5000 0.3327 0.6666
Co1 0.0000 0.0028 0.0028
Er1 0.5000 0.2302 0.0000
Pr1 0.0000 0.5969 0.0000
Pr2 0.0000 0.4021 0.4021
Dy1 0.5000 0.7688 0.7688
Pr3 0.0000 0.0000 0.5969
Er2 0.5000 0.0000 0.2302
Te2 0.5000 0.6666 0.3327

***

# MgScAsOs, relaxed, DFT PBE-GGA
# energy relative to the lowest polymorph listed for this composition = 20.1 meV per atom
data_MgScAsOs
_chemical_formula_sum 'Mg1 Sc1 As1 Os1'
_space_group_name_H-M_alt 'P 1'
_space_group_IT_number 1
_cell_length_a 4.5190
_cell_length_b 4.5190
_cell_length_c 4.5190
_cell_angle_alpha 60.00
_cell_angle_beta 60.00
_cell_angle_gamma 60.00
loop_
_space_group_symop_operation_xyz
'x,y,z'
loop_
_atom_site_label
_atom_site_fract_x
_atom_site_fract_y
_atom_site_fract_z
Os1 0.2500 0.2500 0.2500
Mg1 0.7500 0.7500 0.7500
As1 0.5000 0.5000 0.5000
Sc1 0.0000 0.0000 0.0000

***

# MgTaFeGe, relaxed, DFT PBE-GGA
# energy relative to the lowest polymorph listed for this composition = 157.7 meV per atom
data_MgTaFeGe
_chemical_formula_sum 'Mg1 Ta1 Fe1 Ge1'
_space_group_name_H-M_alt 'P 1'
_space_group_IT_number 1
_cell_length_a 4.4402
_cell_length_b 4.4402
_cell_length_c 4.4402
_cell_angle_alpha 60.00
_cell_angle_beta 60.00
_cell_angle_gamma 60.00
loop_
_space_group_symop_operation_xyz
'x,y,z'
loop_
_atom_site_label
_atom_site_fract_x
_atom_site_fract_y
_atom_site_fract_z
Mg1 0.5000 0.5000 0.5000
Ta1 0.2500 0.2500 0.2500
Ge1 0.0000 0.0000 0.0000
Fe1 0.7500 0.7500 0.7500

***

# RbTlMo, relaxed, DFT PBE-GGA
# energy relative to the lowest polymorph listed for this composition = 0.0 meV per atom
data_RbTlMo
_chemical_formula_sum 'Rb1 Tl1 Mo1'
_space_group_name_H-M_alt 'P 1'
_space_group_IT_number 1
_cell_length_a 5.2786
_cell_length_b 5.2786
_cell_length_c 5.2786
_cell_angle_alpha 60.00
_cell_angle_beta 60.00
_cell_angle_gamma 60.00
loop_
_space_group_symop_operation_xyz
'x,y,z'
loop_
_atom_site_label
_atom_site_fract_x
_atom_site_fract_y
_atom_site_fract_z
Mo1 0.0000 0.0000 0.0000
Rb1 0.2500 0.2500 0.2500
Tl1 0.7500 0.7500 0.7500

***

# LaGdTm, relaxed, DFT PBE-GGA
# energy relative to the lowest polymorph listed for this composition = 0.0 meV per atom
# E_form = 681 meV per atom
data_LaGdTm
_chemical_formula_sum 'La1 Gd1 Tm1'
_space_group_name_H-M_alt 'P 1'
_space_group_IT_number 1
_cell_length_a 5.4938
_cell_length_b 5.4938
_cell_length_c 5.4938
_cell_angle_alpha 60.00
_cell_angle_beta 60.00
_cell_angle_gamma 60.00
loop_
_space_group_symop_operation_xyz
'x,y,z'
loop_
_atom_site_label
_atom_site_fract_x
_atom_site_fract_y
_atom_site_fract_z
Tm1 0.0000 0.0000 0.0000
La1 0.7500 0.7500 0.7500
Gd1 0.2500 0.2500 0.2500

***

# ZrBi2N2, relaxed, DFT PBE-GGA
# energy = -55.9 eV per cell
data_ZrBi2N2
_chemical_formula_sum 'Zr2 Bi4 N4'
_space_group_name_H-M_alt 'P 1'
_space_group_IT_number 1
_cell_length_a 11.1069
_cell_length_b 9.6486
_cell_length_c 7.2123
_cell_angle_alpha 81.01
_cell_angle_beta 59.10
_cell_angle_gamma 39.89
loop_
_space_group_symop_operation_xyz
'x,y,z'
loop_
_atom_site_label
_atom_site_fract_x
_atom_site_fract_y
_atom_site_fract_z
Bi1 0.6250 0.6250 0.1250
Bi2 0.6250 0.1250 0.6250
N1 0.6587 0.3413 0.6587
Zr1 0.7500 0.7500 0.7500
N2 0.5913 0.9087 0.5913
Bi3 0.6250 0.6250 0.6250
Zr2 0.5000 0.5000 0.5000
N3 0.3413 0.6587 0.3413
N4 0.9087 0.5913 0.9087
Bi4 0.1250 0.6250 0.6250

***

# NaUGa, relaxed, DFT PBE-GGA
# energy relative to the lowest polymorph listed for this composition = 416.4 meV per atom
data_NaUGa
_chemical_formula_sum 'Na1 U1 Ga1'
_space_group_name_H-M_alt 'P 1'
_space_group_IT_number 1
_cell_length_a 4.8999
_cell_length_b 4.8999
_cell_length_c 4.8999
_cell_angle_alpha 60.00
_cell_angle_beta 60.00
_cell_angle_gamma 60.00
loop_
_space_group_symop_operation_xyz
'x,y,z'
loop_
_atom_site_label
_atom_site_fract_x
_atom_site_fract_y
_atom_site_fract_z
U1 0.2500 0.2500 0.2500
Na1 0.0000 0.0000 0.0000
Ga1 0.5000 0.5000 0.5000

***

# NbCdInCo, relaxed, DFT PBE-GGA
# energy relative to the lowest polymorph listed for this composition = 0.0 meV per atom
data_NbCdInCo
_chemical_formula_sum 'Nb1 Cd1 In1 Co1'
_space_group_name_H-M_alt 'P 1'
_space_group_IT_number 1
_cell_length_a 4.6071
_cell_length_b 4.6071
_cell_length_c 4.6071
_cell_angle_alpha 60.00
_cell_angle_beta 60.00
_cell_angle_gamma 60.00
loop_
_space_group_symop_operation_xyz
'x,y,z'
loop_
_atom_site_label
_atom_site_fract_x
_atom_site_fract_y
_atom_site_fract_z
In1 0.0000 0.0000 0.0000
Co1 0.7500 0.7500 0.7500
Cd1 0.2500 0.2500 0.2500
Nb1 0.5000 0.5000 0.5000

***

# ZnH11C14Br2N7, relaxed, DFT PBE-GGA
# energy = -456.3 eV per cell
data_ZnH11C14Br2N7
_chemical_formula_sum 'Zn2 H22 C28 Br4 N14'
_space_group_name_H-M_alt 'P 1'
_space_group_IT_number 1
_cell_length_a 8.8896
_cell_length_b 8.9130
_cell_length_c 11.7415
_cell_angle_alpha 73.46
_cell_angle_beta 88.62
_cell_angle_gamma 86.58
loop_
_space_group_symop_operation_xyz
'x,y,z'
loop_
_atom_site_label
_atom_site_fract_x
_atom_site_fract_y
_atom_site_fract_z
C1 0.9224 0.1226 0.3744
H1 0.3387 0.5718 0.8123
N1 0.8553 0.9590 0.0307
H2 0.9415 0.4965 0.5921
H3 0.4212 0.0320 0.6060
C2 0.9447 0.0137 0.0991
H4 0.6837 0.2067 0.9471
H5 0.2581 0.8975 0.4965
C3 0.6180 0.5343 0.1225
C4 0.8623 0.5466 0.0119
C5 0.8854 0.0298 0.2129
H6 0.5789 0.9680 0.3940
C6 0.2920 0.3935 0.9746
C7 0.1146 0.9702 0.7871
H7 0.6613 0.4282 0.1877
H8 0.7419 0.1025 0.5035
H9 0.6765 0.9212 0.2054
N2 0.1447 0.0410 0.9693
C8 0.9702 0.3712 0.6322
H10 0.0875 0.3410 0.6117
C9 0.0776 0.8774 0.6256
H11 0.1070 0.6976 0.4019
H12 0.4930 0.9087 0.8824
C10 0.7080 0.6065 0.0254
H13 0.0585 0.5035 0.4079
H14 0.9999 0.8212 0.5820
H15 0.9125 0.6590 0.3883
H16 0.5989 0.4542 0.7932
C11 0.2568 0.0204 0.7451
C12 0.4770 0.1986 0.0479
C13 0.4746 0.6007 0.1328
N3 0.9259 0.3124 0.8604
Br1 0.2752 0.2934 0.3534
C14 0.7432 0.9796 0.2549
N4 0.9752 0.0967 0.2735
Zn1 0.1987 0.1576 0.2088
H17 0.0001 0.1788 0.4180
C15 0.0537 0.6619 0.2417
Br2 0.3357 0.8946 0.2846
C16 0.5254 0.3993 0.8672
C17 0.2201 0.9195 0.5797
C18 0.7799 0.0805 0.4203
N5 0.0821 0.5800 0.9039
Br3 0.6643 0.1054 0.7154
Zn2 0.8013 0.8424 0.7912
N6 0.9179 0.4200 0.0961
C19 0.3820 0.4657 0.8775
C20 0.1377 0.4534 0.9881
H18 0.5070 0.0913 0.1176
C21 0.5230 0.8014 0.9521
N7 0.0741 0.6876 0.1396
N8 0.9419 0.6257 0.9167
N9 0.0248 0.9033 0.7265
H19 0.3235 0.0788 0.7946
H20 0.3163 0.7933 0.0529
N10 0.3396 0.2629 0.0592
C22 0.6899 0.0055 0.3604
C23 0.0298 0.6288 0.3678
N11 0.6604 0.7371 0.9408
C24 0.4269 0.7372 0.0465
H21 0.4011 0.5458 0.2068
N12 0.9129 0.9451 0.9304
N13 0.0871 0.0549 0.0696
C25 0.5731 0.2628 0.9535
N14 0.0581 0.3743 0.0833
C26 0.3101 0.9945 0.6396
H22 0.8930 0.3024 0.5981
C27 0.0553 0.9863 0.9009
C28 0.9463 0.3381 0.7583
Br4 0.7248 0.7066 0.6466